(1)
DFT (PBE) results for Zn4Ir5 after structural relaxation.

Computed properties:
- magnetization (μB per formula unit) = 0.0
- final energy (eV per atom) = -5.441
- DOS at the Fermi energy (states/eV per atom) = 0.711
- ΔE_f (eV per atom) = 0.05

Cell: 7.555 7.555 5.228 Å, 90.00 90.00 120.00°
Atoms (fractional coordinates):
Zn: 0.000 0.000 0.000
Zn: 0.000 0.000 0.500
Zn: 0.000 0.351 0.250
Zn: 0.000 0.649 0.750
Zn: 0.351 0.000 0.250
Zn: 0.351 0.351 0.750
Zn: 0.649 0.000 0.750
Zn: 0.649 0.649 0.250
Ir: 0.000 0.317 0.750
Ir: 0.000 0.683 0.250
Ir: 0.317 0.000 0.750
Ir: 0.317 0.317 0.250
Ir: 0.333 0.667 0.000
Ir: 0.333 0.667 0.500
Ir: 0.667 0.333 0.000
Ir: 0.667 0.333 0.500
Ir: 0.683 0.000 0.250
Ir: 0.683 0.683 0.750



(2)
DFT (PBE) results for ZnIr2 after structural relaxation.

Computed properties:
- magnetization (μB per formula unit) = 0.0
- final energy (eV per atom) = -5.799
- DOS at the Fermi energy (states/eV per atom) = 1.123
- ΔE_f (eV per atom) = 0.53

Cell: 3.604 3.604 4.064 Å, 90.00 90.00 90.00°
Atoms (fractional coordinates):
Zn: 0.000 0.000 0.000
Ir: 0.000 0.500 0.500
Ir: 0.500 0.000 0.500



(3)
DFT (PBE) results for ZnIr after structural relaxation.

Computed properties:
- magnetization (μB per formula unit) = 0.0
- final energy (eV per atom) = -5.023
- DOS at the Fermi energy (states/eV per atom) = 0.545
- ΔE_f (eV per atom) = 0.04

Cell: 4.559 7.153 7.652 Å, 90.00 90.00 90.00°
Atoms (fractional coordinates):
Zn: 0.224 0.010 0.314
Zn: 0.238 0.703 0.104
Zn: 0.262 0.297 0.604
Zn: 0.276 0.990 0.814
Zn: 0.724 0.490 0.686
Zn: 0.738 0.797 0.896
Zn: 0.762 0.203 0.396
Zn: 0.776 0.510 0.186
Ir: 0.116 0.335 0.951
Ir: 0.215 0.633 0.774
Ir: 0.285 0.367 0.274
Ir: 0.384 0.665 0.451
Ir: 0.616 0.165 0.049
Ir: 0.715 0.867 0.226
Ir: 0.785 0.133 0.726
Ir: 0.884 0.835 0.549



(4)
DFT (PBE) results for ZnIr after structural relaxation.

Computed properties:
- magnetization (μB per formula unit) = 0.0
- final energy (eV per atom) = -5.009
- DOS at the Fermi energy (states/eV per atom) = 0.719
- ΔE_f (eV per atom) = 0.06

Cell: 7.808 7.808 4.279 Å, 90.00 90.00 120.00°
Atoms (fractional coordinates):
Zn: 0.201 0.402 0.250
Zn: 0.201 0.799 0.250
Zn: 0.402 0.201 0.750
Zn: 0.598 0.799 0.250
Zn: 0.799 0.201 0.750
Zn: 0.799 0.598 0.750
Ir: 0.107 0.554 0.750
Ir: 0.446 0.554 0.750
Ir: 0.446 0.893 0.750
Ir: 0.554 0.107 0.250
Ir: 0.554 0.446 0.250
Ir: 0.893 0.446 0.250



(5)
DFT (PBE) results for Zn3Ir after structural relaxation.

Computed properties:
- magnetization (μB per formula unit) = 0.0
- final energy (eV per atom) = -3.323
- DOS at the Fermi energy (states/eV per atom) = 0.395
- ΔE_f (eV per atom) = -0.15

Cell: 4.518 4.518 2.942 Å, 90.00 90.00 107.50°
Atoms (fractional coordinates):
Zn: 0.000 0.000 0.000
Zn: 0.000 0.500 0.500
Zn: 0.500 0.000 0.500
Ir: 0.500 0.500 0.000



(6)
DFT (PBE) results for ZnIr after structural relaxation.

Computed properties:
- magnetization (μB per formula unit) = 0.3
- final energy (eV per atom) = -4.568
- DOS at the Fermi energy (states/eV per atom) = 1.432
- ΔE_f (eV per atom) = 0.50

Cell: 3.895 3.895 4.820 Å, 90.00 90.00 120.00°
Atoms (fractional coordinates):
Zn: 0.000 0.000 0.000
Zn: 0.000 0.000 0.500
Ir: 0.333 0.667 0.250
Ir: 0.667 0.333 0.750



(7)
DFT (PBE) results for Zn3Ir after structural relaxation.

Computed properties:
- magnetization (μB per formula unit) = 0.0
- final energy (eV per atom) = -3.318
- DOS at the Fermi energy (states/eV per atom) = 0.404
- ΔE_f (eV per atom) = -0.15

Cell: 5.707 8.141 5.148 Å, 90.00 90.00 90.00°
Atoms (fractional coordinates):
Zn: 0.048 0.250 0.165
Zn: 0.224 0.028 0.544
Zn: 0.224 0.472 0.544
Zn: 0.276 0.528 0.044
Zn: 0.276 0.972 0.044
Zn: 0.452 0.750 0.665
Zn: 0.548 0.250 0.335
Zn: 0.724 0.028 0.956
Zn: 0.724 0.472 0.956
Zn: 0.776 0.528 0.456
Zn: 0.776 0.972 0.456
Zn: 0.952 0.750 0.835
Ir: 0.091 0.750 0.339
Ir: 0.409 0.250 0.839
Ir: 0.591 0.750 0.161
Ir: 0.909 0.250 0.661



(8)
DFT (PBE) results for Zn5Ir after structural relaxation.

Computed properties:
- magnetization (μB per formula unit) = 0.0
- final energy (eV per atom) = -2.537
- DOS at the Fermi energy (states/eV per atom) = 0.568
- ΔE_f (eV per atom) = 0.00

Cell: 4.937 4.937 4.937 Å, 60.00 60.00 60.00°
Atoms (fractional coordinates):
Zn: 0.000 0.000 0.000
Zn: 0.126 0.625 0.625
Zn: 0.625 0.126 0.625
Zn: 0.625 0.625 0.126
Zn: 0.625 0.625 0.625
Ir: 0.250 0.250 0.250



(9)
DFT (PBE) results for ZnIr2 after structural relaxation.

Computed properties:
- magnetization (μB per formula unit) = 0.0
- final energy (eV per atom) = -5.349
- DOS at the Fermi energy (states/eV per atom) = 1.617
- ΔE_f (eV per atom) = 0.98

Cell: 5.874 5.874 5.874 Å, 90.00 90.00 90.00°
Atoms (fractional coordinates):
Zn: 0.000 0.000 0.000
Zn: 0.000 0.500 0.500
Zn: 0.500 0.000 0.500
Zn: 0.500 0.500 0.000
Ir: 0.119 0.619 0.881
Ir: 0.119 0.881 0.381
Ir: 0.381 0.119 0.881
Ir: 0.381 0.381 0.381
Ir: 0.619 0.619 0.619
Ir: 0.619 0.881 0.119
Ir: 0.881 0.119 0.619
Ir: 0.881 0.381 0.119



(10)
DFT (PBE) results for ZnIr2 after structural relaxation.

Computed properties:
- magnetization (μB per formula unit) = 0.0
- final energy (eV per atom) = -6.137
- DOS at the Fermi energy (states/eV per atom) = 0.904
- ΔE_f (eV per atom) = 0.19

Cell: 8.995 8.995 8.995 Å, 162.77 153.30 31.95°
Atoms (fractional coordinates):
Zn: 0.375 0.125 0.250
Zn: 0.625 0.875 0.750
Ir: 0.063 0.313 0.750
Ir: 0.211 0.461 0.750
Ir: 0.789 0.539 0.250
Ir: 0.937 0.687 0.250



(11)
DFT (PBE) results for ZnIr2 after structural relaxation.

Computed properties:
- magnetization (μB per formula unit) = 0.0
- final energy (eV per atom) = -6.421
- DOS at the Fermi energy (states/eV per atom) = 0.818
- ΔE_f (eV per atom) = -0.09

Cell: 5.153 5.153 6.462 Å, 102.70 102.70 31.11°
Atoms (fractional coordinates):
Zn: 0.000 0.000 0.000
Zn: 0.669 0.669 0.339
Ir: 0.276 0.276 0.057
Ir: 0.340 0.340 0.675
Ir: 0.616 0.616 0.723
Ir: 0.944 0.944 0.387



(12)
DFT (PBE) results for Zn3Ir after structural relaxation.

Computed properties:
- magnetization (μB per formula unit) = 0.0
- final energy (eV per atom) = -3.298
- DOS at the Fermi energy (states/eV per atom) = 0.325
- ΔE_f (eV per atom) = -0.13

Cell: 2.904 3.736 5.336 Å, 90.00 90.27 90.00°
Atoms (fractional coordinates):
Zn: 0.000 0.000 0.000
Zn: 0.499 0.500 0.739
Zn: 0.501 0.500 0.261
Ir: 0.000 0.000 0.500